# 1
Computed, not measured: crystalline ZnCo3Te at its relaxed geometry at the GGA-PBE level of DFT.

```
ZnCo3Te
1.0
-0.9831 -4.5061 0.4573
1.6795 -0.7973 -4.2455
4.2064 -0.7349 1.8020
Zn Co Te
1 3 1
Cartesian
2.4514 -3.0191 -0.9931
0.8398 -0.3986 -2.1228
2.1032 -0.3674 0.9010
-0.4916 -2.2531 0.2286
0.0000 0.0000 0.0000
```

Results
Calculated volume = 99.6 Å³/f.u.
Raw formation energy = 1105 meV/atom
Electronic total energy = -4.042 eV per atom
Crystal system = cubic
SG = Pm-3m (221)
Energy above the most stable polymorph in this dataset = 128 meV/atom

# 2
Computed, not measured: crystalline Pa3Si2Tc3 at its relaxed geometry at the GGA-PBE level of DFT.

```
Pa3Si2Tc3
1.0
-1.5673 -3.4721 1.5921
-1.0144 0.3900 -5.5018
12.0834 -6.6934 -2.7023
Pa Si Tc
6 4 6
Cartesian
10.3970 -6.1783 -3.2391
1.7895 -3.7446 -1.0512
2.4171 -5.4321 -4.1136
7.0846 -4.3435 -2.4983
-0.8953 -3.5972 -3.3729
7.7122 -6.0310 -5.5608
4.0556 -3.1447 -2.8659
5.4461 -6.6308 -3.7461
8.8948 -8.5411 -4.5173
0.6070 -1.2344 -2.0946
10.5243 -7.5189 -6.0376
7.7282 -7.1684 -2.6720
4.4946 -5.3127 -1.8082
-1.0226 -2.2566 -0.5744
5.0072 -4.4628 -4.8038
1.7736 -2.6071 -3.9400
```

Results
Calculated volume = 151.5 Å³/f.u.
Raw formation energy = -479 meV/atom
Electronic total energy = -9.283 eV per atom
Crystal system = orthorhombic
SG = Cmcm (63)

| no. | N(E_F) (states/eV per cell) |
| --- | --- |
| 1 | 6.723 |
| 2 | 19.320 |